Computed, not measured: an optimized crystal structure of Zn2Cd2As at the PBE-GGA level of DFT.

abc: 7.027 7.027 7.027
angles: 146.83 146.83 47.62
Atoms (fractional coordinates):
Zn 0.093 0.093 0.000
Zn 0.907 0.907 0.000
Cd 0.250 0.750 0.500
Cd 0.750 0.250 0.500
As 0.500 0.500 0.000

Calculated values
Energy relative to the elements = 251 meV per atom
ρ = 6.91 g cm⁻³
Total magnetization = 0.00 μB/cell
Distance to the lowest polymorph of the same formula = 0.082 eV/atom
N(E_F) = 1.7 states/eV/cell
Crystal system = tetragonal


Computed, not measured: an optimized crystal structure of BaC2S2N2 at the PBE-GGA level of DFT.

abc: 6.378 6.378 8.747
angles: 92.34 92.34 65.11
Atoms (fractional coordinates):
Ba 0.103 0.897 0.750
Ba 0.897 0.103 0.250
C 0.234 0.525 0.390
C 0.475 0.766 0.110
C 0.525 0.234 0.890
C 0.766 0.475 0.610
S 0.264 0.337 0.818
S 0.337 0.264 0.318
S 0.663 0.736 0.682
S 0.736 0.663 0.182
N 0.156 0.718 0.442
N 0.282 0.844 0.058
N 0.718 0.156 0.942
N 0.844 0.282 0.558

Calculated values
Formation energy without anion corrections = -0.483 eV per atom
ρ = 2.61 g cm⁻³
Total magnetization = 0.00 μB/cell
N(E_F) = 0.0 states/eV/cell
Crystal system = monoclinic